[1]
Here is a relaxed YMg6Cd crystal from Alexandria. Energies are from PBE-GGA.

The structure in POSCAR format:
```
YMg6Cd
1.0
5.0935 0.0000 0.0000
0.0000 3.2234 5.8485
0.0000 -3.2234 5.8485
Y Mg Cd
1 6 1
Cartesian
0.0000 0.0000 0.0000
0.0000 -1.5950 2.9836
0.0000 1.5950 2.9836
0.0000 0.0000 6.0912
2.5468 -1.6139 7.0729
2.5468 0.0000 4.2111
2.5468 1.6139 7.0729
2.5468 0.0000 9.8302
```

Summary:
V: 24.006 A^3/atom
Spin magnetization: 0.00 Bohr magnetons per cell
E above lowest polymorph: 0.0 meV/atom

[2]
Here is a relaxed CaYNiW2 crystal from Alexandria. Energies are from PBE-GGA.

The structure in POSCAR format:
```
CaYNiW2
1.0
4.6593 0.0000 0.0000
0.0000 4.6593 0.0000
0.0000 0.0000 5.0380
Ca Y Ni W
1 1 1 2
Cartesian
0.0000 0.0000 0.0000
2.3296 2.3296 0.0000
0.0000 0.0000 2.5190
0.0000 2.3296 2.5190
2.3296 0.0000 2.5190
```

Summary:
V: 21.874 A^3/atom
Spin magnetization: 0.00 Bohr magnetons per cell

ΔE_f in eV per atom, matching the order above: -0.055 0.944